The following is a DFT calculation (PBE) of crystalline Zr3Si2Ag2 at its relaxed geometry.

It has space group R3m (No. 160, hexagonal axes), with a = 4.6477 Å, b = 4.6477 Å, c = 22.8188 Å, α = 90.00°, β = 90.00° and γ = 120.00°. The inequivalent atoms are Zr at (0.0000, 0.0000, 0.0000), Zr at (0.0000, 0.0000, 0.2477), Zr at (0.0000, 0.0000, 0.4957), Si at (0.0000, 0.0000, 0.1232), Si at (0.0000, 0.0000, 0.6209), Ag at (0.0000, 0.0000, 0.3779) and Ag at (0.0000, 0.0000, 0.8570).

The calculation puts the energy at -6.15 eV/atom. The value obtained for the volume is 426.88 Å³ per cell.

***

The following is a DFT calculation (PBE) of crystalline Zr3Si5Ag at its relaxed geometry.

It has space group P6/mmm (No. 191), with a = 5.8200 Å, b = 5.8200 Å, c = 6.6453 Å, α = 90.00°, β = 90.00° and γ = 120.00°. The inequivalent atoms are Zr at (0.0000, 0.5000, 0.0000), Si at (0.0000, 0.0000, 0.0000), Si at (0.3333, 0.6667, 0.3302) and Ag at (0.0000, 0.0000, 0.5000).

The calculation puts the energy at -5.95 eV/atom. The value obtained for the volume is 194.94 Å³ per cell.

***

The following is a DFT calculation (PBE) of crystalline Zr2SiAg2 at its relaxed geometry.

It has space group I4/mmm (No. 139), with a = 3.716 Å, b = 3.716 Å, c = 14.451 Å, α = 90.00°, β = 90.00° and γ = 90.00°. The inequivalent atoms are Zr at (0.000, 0.000, 0.093), Si at (0.000, 0.000, 0.500) and Ag at (0.000, 0.500, 0.250).

The energy above the lowest structure with this stoichiometry comes out at 0.0000 eV/atom. The calculation puts the energy at -5.45 eV/atom. The value obtained for the volume is 199.53 Å³ per cell.

***

The following is a DFT calculation (PBE) of crystalline Zr2SiAg2 at its relaxed geometry.

It has space group I4/mmm (No. 139), with a = 4.332 Å, b = 4.332 Å, c = 11.916 Å, α = 90.00°, β = 90.00° and γ = 90.00°. The inequivalent atoms are Zr at (0.000, 0.500, 0.250), Si at (0.000, 0.000, 0.000) and Ag at (0.000, 0.000, 0.397).

The energy above the lowest structure with this stoichiometry comes out at 0.3896 eV/atom. The calculation puts the energy at -5.06 eV/atom. The value obtained for the volume is 223.64 Å³ per cell.

***

The following is a DFT calculation (PBE) of crystalline SmAg3 at its relaxed geometry.

It has space group Pmmn (No. 59, origin choice 2), with a = 5.039 Å, b = 6.233 Å, c = 5.304 Å, α = 90.00°, β = 90.00° and γ = 90.00°. The inequivalent atoms are Sm at (0.250, 0.250, 0.156), Ag at (0.250, 0.503, 0.660) and Ag at (0.250, 0.750, 0.191).

The calculation puts the energy at -3.54 eV/atom. As for the formation energy: -0.98 eV per formula unit. The value obtained for the volume is 166.61 Å³ per cell.

***

The following is a DFT calculation (PBE) of crystalline SmAg at its relaxed geometry.

It has space group P-6m2 (No. 187), with a = 3.4455 Å, b = 3.4455 Å, c = 4.9277 Å, α = 90.00°, β = 90.00° and γ = 120.00°. The inequivalent atoms are Sm at (0.0000, 0.0000, 0.0000) and Ag at (0.3333, 0.6667, 0.5000).

The calculation puts the energy at -3.80 eV/atom. As for the formation energy: -0.07 eV per formula unit. The value obtained for the volume is 50.66 Å³ per cell.

***

| no. | total moment (μB per atom) |
| --- | --- |
| 1 | 0.00 |
| 2 | 0.00 |
| 3 | 0.33 |
| 4 | 0.00 |
| 5 | 0.00 |
| 6 | 0.00 |